No. 1
The following is a DFT calculation (PBE) of a geometry-optimized NaTbSnSe3 structure.

Cell lengths 8.062, 8.062, 11.499 Å; angles 90.00, 90.00, 150.43 degrees
Positions (direct):
Se 0.022 0.978 0.750
Se 0.373 0.627 0.506
Tb 0.000 0.000 0.000
Se 0.627 0.373 0.494
Sn 0.357 0.643 0.250
Sn 0.643 0.357 0.750
Tb 0.000 0.000 0.500
Se 0.978 0.022 0.250
Se 0.373 0.627 0.994
Na 0.647 0.353 0.250
Se 0.627 0.373 0.006
Na 0.353 0.647 0.750

- Space group: No. 63
- Total energy: -54.1 eV for the cell shown

No. 2
The following is a DFT calculation (PBE) of a geometry-optimized Pr2NdCd3AgAu2 structure.

Cell lengths 3.973, 8.038, 8.038 Å; angles 119.96, 90.00, 90.00 degrees
Positions (direct):
Pr 0.000 0.000 0.593
Ag 0.000 0.001 0.001
Au 0.500 0.665 0.334
Cd 0.500 0.741 0.741
Cd 0.500 0.259 0.001
Au 0.500 0.334 0.665
Cd 0.500 0.001 0.259
Pr 0.000 0.593 0.000
Nd 0.000 0.407 0.407

- Space group: No. 38
- ΔH_f (0 K): -0.57 eV/atom

No. 3
The following is a DFT calculation (PBE) of a geometry-optimized Nd3Zn11 structure.

Cell lengths 8.290, 8.290, 8.290 Å; angles 148.66, 115.65, 73.33 degrees
Positions (direct):
Zn 0.987 0.345 0.641
Zn 0.678 0.500 0.178
Zn 0.576 0.860 0.717
Zn 0.013 0.655 0.359
Nd 0.000 0.000 0.000
Nd 0.294 0.294 0.000
Zn 0.424 0.140 0.283
Zn 0.500 0.000 0.500
Zn 0.704 0.345 0.359
Zn 0.143 0.860 0.283
Nd 0.706 0.706 0.000
Zn 0.857 0.140 0.717
Zn 0.296 0.655 0.641
Zn 0.322 0.500 0.822

- Space group: No. 71
- Energy relative to the lowest polymorph listed for this composition: 0 meV per atom
- ΔH_f (0 K): -0.33 eV/atom

No. 4
The following is a DFT calculation (PBE) of a geometry-optimized GdHo4B3O10 structure.

Cell lengths 8.702, 8.702, 3.703 Å; angles 94.79, 94.79, 128.11 degrees
Positions (direct):
O 0.195 0.195 0.563
Gd 0.021 0.021 0.000
Ho 0.723 0.516 0.346
Ho 0.516 0.723 0.346
B 0.159 0.760 0.033
B 0.760 0.159 0.033
O 0.950 0.625 0.895
Ho 0.444 0.057 0.661
B 0.390 0.390 0.604
O 0.370 0.537 0.786
O 0.625 0.950 0.895
O 0.703 0.233 0.307
O 0.537 0.370 0.786
Ho 0.057 0.444 0.661
O 0.968 0.253 0.098
O 0.233 0.703 0.307
O 0.822 0.822 0.410
O 0.253 0.968 0.098

- Space group: No. 8
- Total energy: -142.6 eV for the cell shown

Please write out number 3 again, unchanged.
The following is a DFT calculation (PBE) of a geometry-optimized Nd3Zn11 structure.

Cell lengths 8.290, 8.290, 8.290 Å; angles 148.66, 115.65, 73.33 degrees
Positions (direct):
Zn 0.987 0.345 0.641
Zn 0.678 0.500 0.178
Zn 0.576 0.860 0.717
Zn 0.013 0.655 0.359
Nd 0.000 0.000 0.000
Nd 0.294 0.294 0.000
Zn 0.424 0.140 0.283
Zn 0.500 0.000 0.500
Zn 0.704 0.345 0.359
Zn 0.143 0.860 0.283
Nd 0.706 0.706 0.000
Zn 0.857 0.140 0.717
Zn 0.296 0.655 0.641
Zn 0.322 0.500 0.822

- Space group: No. 71
- Energy relative to the lowest polymorph listed for this composition: 0 meV per atom
- ΔH_f (0 K): -0.33 eV/atom

- What is the formula in the first record?
  NaTbSnSe3